# Rb2TeCF6 (PBE, optimized geometry)
data_Rb2TeCF6
_chemical_formula_sum 'Rb4 Te2 C2 F12'
_space_group_name_H-M_alt 'I 4/m m m'
_space_group_IT_number 139
_space_group_name_Hall '-I 4 2'
_cell_length_a 5.961
_cell_length_b 5.961
_cell_length_c 10.435
_cell_angle_alpha 90.00
_cell_angle_beta 90.00
_cell_angle_gamma 90.00
loop_
_atom_site_label
_atom_site_type_symbol
_atom_site_fract_x
_atom_site_fract_y
_atom_site_fract_z
Rb1 Rb 0.000 0.500 0.250
Te1 Te 0.000 0.000 0.000
C1 C 0.000 0.000 0.500
F1 F 0.000 0.000 0.327
F2 F 0.245 0.245 0.500
# Formation energy from raw total energies ... -13.9 eV/f.u.



# ThZn5AgPd2 (PBE, optimized geometry)
data_ThZn5AgPd2
_chemical_formula_sum 'Th1 Zn5 Ag1 Pd2'
_space_group_name_H-M_alt 'P 4/m m m'
_space_group_IT_number 123
_space_group_name_Hall '-P 4 2'
_cell_length_a 4.824
_cell_length_b 4.824
_cell_length_c 7.409
_cell_angle_alpha 90.00
_cell_angle_beta 90.00
_cell_angle_gamma 90.00
loop_
_atom_site_label
_atom_site_type_symbol
_atom_site_fract_x
_atom_site_fract_y
_atom_site_fract_z
Th1 Th 0.000 0.000 0.000
Zn1 Zn 0.000 0.500 0.292
Zn2 Zn 0.500 0.500 0.000
Ag1 Ag 0.000 0.000 0.500
Pd1 Pd 0.500 0.500 0.322
# Energy of formation from the pure elements ... -0.121 eV/atom



# NaPr2AsO5 (PBE, optimized geometry)
data_NaPr2AsO5
_chemical_formula_sum 'Na2 Pr4 As2 O10'
_space_group_name_H-M_alt 'P 4/m b m'
_space_group_IT_number 127
_space_group_name_Hall '-P 4 2ab'
_cell_length_a 6.857
_cell_length_b 6.857
_cell_length_c 6.007
_cell_angle_alpha 90.00
_cell_angle_beta 90.00
_cell_angle_gamma 90.00
loop_
_atom_site_label
_atom_site_type_symbol
_atom_site_fract_x
_atom_site_fract_y
_atom_site_fract_z
Na1 Na 0.000 0.000 0.000
Pr1 Pr 0.176 0.324 0.500
As1 As 0.000 0.500 0.000
O1 O 0.000 0.000 0.500
O2 O 0.138 0.638 0.248
# Formation energy from raw total energies ... -19.7 eV/f.u.